# 1
An optimized crystal structure of LiCeOs4, computed with GGA-PBE.

Summary:
The calculation puts the calculated formation energy at 0.11 eV/atom. The density of states at the Fermi level comes out at 11.28 states/eV/cell. Its space group is F-43m, No. 216. Its crystal system is cubic.

Unit cell a=5.292 b=5.292 c=5.292 alpha=60.00 beta=60.00 gamma=60.00
Atoms (fractional coordinates):
Os  0.624  0.624  0.127
Os  0.127  0.624  0.624
Os  0.624  0.624  0.624
Os  0.624  0.127  0.624
Li  0.250  0.250  0.250
Ce  0.000  0.000  0.000

# 2
An optimized crystal structure of Nd2HfSb3, computed with GGA-PBE.

Summary:
The density of states at the Fermi level comes out at 2.49 states/eV/cell. Its space group is I4/mmm, No. 139. Its crystal system is tetragonal. The calculation puts the uncorrected formation energy at -0.863 eV/atom.

Unit cell a=4.391 b=4.391 c=9.750 alpha=103.01 beta=103.01 gamma=89.99
Atoms (fractional coordinates):
Sb  0.277  0.278  0.559
Sb  0.592  0.593  0.189
Sb  0.934  0.936  0.874
Hf  0.434  0.436  0.874
Nd  0.765  0.766  0.535
Nd  0.104  0.105  0.213

# 3
An optimized crystal structure of Cs2RbZr3O8, computed with GGA-PBE.

Summary:
The density of states at the Fermi level comes out at 5.61 states/eV/cell. Its space group is R3m, No. 160. Its crystal system is trigonal. The calculation puts the uncorrected formation energy at -2.501 eV/atom.

Unit cell a=6.675 b=6.675 c=8.081 alpha=65.60 beta=65.60 gamma=60.00
Each line ends with the local moment (μB).
Atoms (fractional coordinates):
O  0.279  0.279  0.162  0.01
O  0.322  0.761  0.155  0.13
O  0.718  0.718  0.845  0.00
O  0.761  0.761  0.155  0.13
O  0.761  0.322  0.155  0.13
O  0.239  0.672  0.850  0.17
O  0.239  0.239  0.850  0.17
O  0.672  0.239  0.850  0.17
Cs  0.499  0.499  0.502  0.01
Cs  0.130  0.130  0.609  0.01
Zr  0.499  0.998  0.004  -0.03
Zr  0.499  0.499  0.004  -0.03
Zr  0.998  0.499  0.004  -0.03
Rb  0.875  0.875  0.375  0.00

# 4
An optimized crystal structure of Pr3PaCo3, computed with GGA-PBE.

Summary:
The calculation puts the calculated formation energy at -0.14 eV/atom. The density of states at the Fermi level comes out at 11.26 states/eV/cell. Its space group is C2/m, No. 12. Its crystal system is monoclinic.

Unit cell a=3.814 b=6.703 c=13.531 alpha=87.33 beta=81.90 gamma=73.47
Atoms (fractional coordinates):
Pr  0.731  0.734  0.804
Pr  0.588  0.743  0.081
Pr  0.513  0.604  0.370
Pr  0.487  0.396  0.630
Pr  0.269  0.266  0.196
Pr  0.412  0.257  0.919
Pa  0.778  0.050  0.393
Pa  0.222  0.950  0.607
Co  0.928  0.900  0.245
Co  0.918  0.092  0.072
Co  0.072  0.100  0.755
Co  0.134  0.270  0.462
Co  0.082  0.908  0.928
Co  0.866  0.730  0.538

# 5
An optimized crystal structure of NaHo2Ru, computed with GGA-PBE.

Summary:
The calculation puts the calculated formation energy at -0.23 eV/atom. The density of states at the Fermi level comes out at 1.50 states/eV/cell. Its space group is P4/mmm, No. 123. The energy above the most stable polymorph in this dataset comes out at 0.0 kJ/mol of formula units. Its crystal system is tetragonal.

Unit cell a=3.392 b=3.392 c=9.395 alpha=90.00 beta=90.00 gamma=90.00
Atoms (fractional coordinates):
Ho  0.000  0.000  0.826
Ho  0.000  0.000  0.174
Ru  0.500  0.500  0.000
Na  0.500  0.500  0.500

# 6
An optimized crystal structure of Nd6As2Se3Cl, computed with GGA-PBE.

Summary:
The density of states at the Fermi level comes out at 5.19 states/eV/cell. Its space group is C2/m, No. 12. Its crystal system is monoclinic. The calculation puts the uncorrected formation energy at -1.694 eV/atom.

Unit cell a=4.244 b=8.483 c=9.478 alpha=102.62 beta=102.94 gamma=90.00
Atoms (fractional coordinates):
Nd  0.330  0.421  0.661
Nd  0.675  0.096  0.350
Nd  0.670  0.579  0.339
Nd  0.325  0.904  0.650
Nd  0.996  0.730  0.992
Nd  0.004  0.270  0.008
Se  0.500  0.500  0.000
Se  0.838  0.165  0.676
Se  0.162  0.835  0.324
As  0.165  0.331  0.331
As  0.835  0.669  0.669
Cl  0.500  0.000  0.000